A relaxed structure of CaIn2RhI, computed with PBE-GGA.

Cell and atoms, written as POSCAR:
```
CaIn2RhI
1.0
6.049 0.000 0.000
0.000 6.049 0.000
0.000 0.000 4.888
Ca In Rh I
1 2 1 1
Cartesian
0.000 0.000 0.000
0.000 3.025 2.444
3.025 0.000 2.444
3.025 3.025 0.000
3.025 3.025 2.444
```

Computed properties:
* SG: P4/mmm, No. 123
* N(E_F): 0.581 states/eV per atom
* uncorrected formation energy: 2.26 eV per formula unit



A relaxed structure of CaInSb2I, computed with PBE-GGA.

Cell and atoms, written as POSCAR:
```
CaInSb2I
1.0
5.896 0.000 0.000
0.000 5.896 0.000
0.000 0.000 6.033
Ca In Sb I
1 1 2 1
Cartesian
0.000 0.000 0.000
2.948 2.948 3.016
0.000 2.948 0.000
2.948 0.000 0.000
0.000 0.000 3.016
```

Computed properties:
* SG: P4/mmm, No. 123
* N(E_F): 1.336 states/eV per atom
* energy above the most stable polymorph in this dataset: 0.45 eV per formula unit
* uncorrected formation energy: 0.73 eV per formula unit



A relaxed structure of CaInSb2I, computed with PBE-GGA.

Cell and atoms, written as POSCAR:
```
CaInSb2I
1.0
5.556 0.000 0.000
0.000 5.556 0.000
0.000 0.000 6.172
Ca In Sb I
1 1 2 1
Cartesian
0.000 0.000 0.000
2.778 2.778 3.086
0.000 2.778 3.086
2.778 0.000 3.086
2.778 2.778 0.000
```

Computed properties:
* SG: P4/mmm, No. 123
* N(E_F): 0.809 states/eV per atom
* energy above the most stable polymorph in this dataset: 0.00 eV per formula unit
* uncorrected formation energy: 0.28 eV per formula unit



A relaxed structure of CaInSbI2, computed with PBE-GGA.

Cell and atoms, written as POSCAR:
```
CaInSbI2
1.0
5.895 0.000 0.000
0.000 5.895 0.000
0.000 0.000 5.768
Ca In Sb I
1 1 1 2
Cartesian
0.000 0.000 0.000
2.947 2.947 2.884
2.947 2.947 0.000
0.000 2.947 2.884
2.947 0.000 2.884
```

Computed properties:
* SG: P4/mmm, No. 123
* N(E_F): 1.087 states/eV per atom
* energy above the most stable polymorph in this dataset: 0.87 eV per formula unit
* uncorrected formation energy: -0.96 eV per formula unit



A relaxed structure of CaInSbI2, computed with PBE-GGA.

Cell and atoms, written as POSCAR:
```
CaInSbI2
1.0
6.085 0.000 0.000
0.000 6.085 0.000
0.000 0.000 6.258
Ca In Sb I
1 1 1 2
Cartesian
0.000 0.000 0.000
3.043 3.043 3.129
0.000 0.000 3.129
0.000 3.043 0.000
3.043 0.000 0.000
```

Computed properties:
* SG: P4/mmm, No. 123
* N(E_F): 0.365 states/eV per atom
* energy above the most stable polymorph in this dataset: 0.00 eV per formula unit
* uncorrected formation energy: -1.83 eV per formula unit



A relaxed structure of CaScInI6, computed with PBE-GGA.

Cell and atoms, written as POSCAR:
```
CaScInI6
1.0
7.816 0.000 0.000
-3.908 6.769 0.000
0.000 0.000 15.036
Ca Sc In I
2 2 2 12
Cartesian
0.000 4.513 3.759
3.908 2.256 11.277
0.000 4.513 11.277
3.908 2.256 3.759
0.000 0.000 0.000
0.000 0.000 7.518
-1.294 2.540 9.564
-2.355 4.378 12.990
1.294 2.540 12.990
-1.061 6.619 9.564
2.847 0.149 2.046
1.553 2.391 5.472
2.355 4.378 9.564
1.061 6.619 12.990
4.969 0.149 5.472
2.614 4.228 2.046
6.263 2.391 2.046
5.202 4.228 5.472
```

Computed properties:
* SG: P-31c, No. 163
* N(E_F): 0.000 states/eV per atom
* uncorrected formation energy: -10.59 eV per formula unit



A relaxed structure of CaIn2SnI6, computed with PBE-GGA.

Cell and atoms, written as POSCAR:
```
CaIn2SnI6
1.0
4.229 2.441 7.285
-4.229 2.441 7.285
0.000 -4.883 7.285
Ca In Sn I
1 2 1 6
Cartesian
0.000 0.000 0.000
0.000 0.000 6.586
0.000 0.000 17.472
0.000 0.000 10.934
-2.514 0.397 8.942
-1.735 -2.080 12.621
0.913 -2.376 8.942
-0.933 2.543 12.621
1.601 1.979 8.942
2.669 -0.463 12.621
```

Computed properties:
* SG: R3, No. 146
* N(E_F): 0.000 states/eV per atom
* uncorrected formation energy: -7.88 eV per formula unit



A relaxed structure of CaTl2InI5, computed with PBE-GGA.

Cell and atoms, written as POSCAR:
```
CaTl2InI5
1.0
2.330 -10.124 0.000
2.330 10.124 0.000
0.000 0.000 18.003
Ca Tl In I
2 4 2 10
Cartesian
2.330 5.211 9.002
2.330 -5.211 0.000
2.330 3.005 12.986
2.330 1.154 2.126
2.330 -1.154 11.128
2.330 -3.005 3.984
2.330 8.843 16.264
2.330 -8.843 7.262
2.330 9.559 4.222
2.330 8.296 8.673
2.330 5.315 15.893
2.330 4.713 2.209
2.330 2.083 9.537
2.330 -2.083 0.535
2.330 -4.713 11.211
2.330 -5.315 6.892
2.330 -8.296 17.675
2.330 -9.559 13.223
```

Computed properties:
* SG: Cmc2_1, No. 36
* N(E_F): 0.000 states/eV per atom
* uncorrected formation energy: -8.19 eV per formula unit



A relaxed structure of CaVInI2, computed with PBE-GGA.

Cell and atoms, written as POSCAR:
```
CaVInI2
1.0
5.528 0.000 0.000
0.000 5.528 0.000
0.000 0.000 5.461
Ca V In I
1 1 1 2
Cartesian
0.000 0.000 0.000
2.764 2.764 2.731
2.764 2.764 0.000
0.000 2.764 2.731
2.764 0.000 2.731
```

Computed properties:
* SG: P4/mmm, No. 123
* N(E_F): 1.128 states/eV per atom
* uncorrected formation energy: -0.01 eV per formula unit



A relaxed structure of CaZr2InI, computed with PBE-GGA.

Cell and atoms, written as POSCAR:
```
CaZr2InI
1.0
5.306 0.000 0.000
0.000 5.306 0.000
0.000 0.000 5.987
Ca Zr In I
1 2 1 1
Cartesian
0.000 0.000 0.000
0.000 2.653 2.994
2.653 0.000 2.994
2.653 2.653 0.000
2.653 2.653 2.994
```

Computed properties:
* SG: P4/mmm, No. 123
* N(E_F): 0.989 states/eV per atom
* uncorrected formation energy: 3.22 eV per formula unit



A relaxed structure of CaIrI, computed with PBE-GGA.

Cell and atoms, written as POSCAR:
```
CaIrI
1.0
4.100 0.000 0.000
0.013 4.414 0.000
0.022 2.014 4.045
Ca Ir I
1 1 1
Cartesian
0.000 0.000 0.000
2.023 2.008 1.184
2.085 4.269 2.651
```

Computed properties:
* SG: P1, No. 1
* N(E_F): 0.043 states/eV per atom
* energy above the most stable polymorph in this dataset: 1.94 eV per formula unit
* uncorrected formation energy: -0.62 eV per formula unit



A relaxed structure of CaIrI, computed with PBE-GGA.

Cell and atoms, written as POSCAR:
```
CaIrI
1.0
5.231 0.000 0.000
-2.615 4.530 0.000
0.000 0.000 9.823
Ca Ir I
2 2 2
Cartesian
0.000 3.020 2.456
2.615 1.510 7.367
0.000 0.000 0.000
0.000 0.000 4.912
0.000 0.000 2.456
0.000 0.000 7.367
```

Computed properties:
* SG: P6_3/mmc, No. 194
* N(E_F): 0.209 states/eV per atom
* energy above the most stable polymorph in this dataset: 4.37 eV per formula unit
* uncorrected formation energy: 1.82 eV per formula unit